This record from the Alexandria database describes In4Ru after structural relaxation. The functional is PBE.

Cell: 5.423 5.423 5.423 Å, 98.70 98.70 134.23°
Sites, in units of the cell vectors:
In (0.105, 0.711, 0.816)
In (0.289, 0.105, 0.394)
In (0.711, 0.895, 0.606)
In (0.895, 0.289, 0.184)
Ru (0.500, 0.500, 0.000)

Output
As for the energy above the most stable polymorph in this dataset: 0.235 eV per atom. The calculation puts the electronic total energy at -3.83 eV/atom. As for the density of states at the Fermi level: 2.33 states/eV/f.u. As for the energy relative to the elements: 0.22 eV/atom.